(1)
A geometry-optimized NaZn3Si structure, computed with PBE-GGA.

Values from the calculation:
Density of states at the Fermi level, states/eV/f.u.: 3.0
Uncorrected formation energy, eV per atom: 1.090
Calculated volume, Å³/cell: 123
Energy above the most stable polymorph in this dataset, meV per atom: 802

Lattice parameters (Å, degrees): 4.973 4.973 4.973 90.00 90.00 90.00
Fractional positions:
Zn 0.000 0.000 0.500
Si 0.500 0.500 0.500
Zn 0.500 0.000 0.000
Na 0.000 0.000 0.000
Zn 0.000 0.500 0.000

(2)
A geometry-optimized NaZnSi structure, computed with PBE-GGA.

Values from the calculation:
Density of states at the Fermi level, states/eV/f.u.: 0.8
Uncorrected formation energy, eV per atom: 0.114
Calculated volume, Å³/cell: 123
Energy above the most stable polymorph in this dataset, meV per atom: 55

Lattice parameters (Å, degrees): 4.925 4.925 6.318 91.89 119.28 109.29
Fractional positions:
Na 0.247 0.628 0.874
Zn 0.500 0.500 0.500
Zn 0.000 0.000 0.500
Si 0.205 0.016 0.221
Na 0.753 0.372 0.126
Si 0.795 0.984 0.779

(3)
A geometry-optimized NaZn4Si structure, computed with PBE-GGA.

Values from the calculation:
Density of states at the Fermi level, states/eV/f.u.: 3.6
Uncorrected formation energy, eV per atom: 0.168
Calculated volume, Å³/cell: 104

Lattice parameters (Å, degrees): 5.281 5.281 5.281 60.00 60.00 60.00
Fractional positions:
Si 0.250 0.250 0.250
Zn 0.625 0.124 0.625
Na 0.000 0.000 0.000
Zn 0.124 0.625 0.625
Zn 0.625 0.625 0.124
Zn 0.625 0.625 0.625

(4)
A geometry-optimized Na2Zn2Si structure, computed with PBE-GGA.

Values from the calculation:
Density of states at the Fermi level, states/eV/f.u.: 2.1
Uncorrected formation energy, eV per atom: 0.072
Calculated volume, Å³/cell: 211
Energy above the most stable polymorph in this dataset, meV per atom: 70

Lattice parameters (Å, degrees): 6.506 6.506 4.978 90.00 90.00 90.00
Fractional positions:
Zn 0.862 0.638 0.000
Zn 0.362 0.862 0.000
Na 0.181 0.681 0.500
Si 0.500 0.500 0.000
Na 0.819 0.319 0.500
Zn 0.638 0.138 0.000
Zn 0.138 0.362 0.000
Na 0.319 0.181 0.500
Si 0.000 0.000 0.000
Na 0.681 0.819 0.500

(5)
A geometry-optimized NaZnSi3 structure, computed with PBE-GGA.

Values from the calculation:
Density of states at the Fermi level, states/eV/f.u.: 2.9
Uncorrected formation energy, eV per atom: 0.772
Calculated volume, Å³/cell: 111
Energy above the most stable polymorph in this dataset, meV per atom: 0

Lattice parameters (Å, degrees): 4.812 4.812 4.812 90.00 90.00 90.00
Fractional positions:
Na 0.500 0.500 0.500
Zn 0.000 0.000 0.000
Si 0.000 0.500 0.000
Si 0.000 0.000 0.500
Si 0.500 0.000 0.000

(6)
A geometry-optimized NaZn3Si2 structure, computed with PBE-GGA.

Values from the calculation:
Density of states at the Fermi level, states/eV/f.u.: 0.8
Uncorrected formation energy, eV per atom: 0.054
Calculated volume, Å³/cell: 207

Lattice parameters (Å, degrees): 4.318 7.773 7.772 56.82 73.87 73.87
Fractional positions:
Zn 0.321 0.890 0.467
Zn 0.321 0.467 0.891
Na 0.868 0.132 0.133
Zn 0.679 0.533 0.109
Si 0.500 0.161 0.839
Si 0.814 0.686 0.686
Zn 0.000 0.333 0.668
Si 0.186 0.314 0.314
Si 0.500 0.839 0.161
Na 0.132 0.868 0.867
Zn 0.000 0.667 0.332
Zn 0.679 0.110 0.533

(7)
A geometry-optimized NaZnSi2 structure, computed with PBE-GGA.

Values from the calculation:
Density of states at the Fermi level, states/eV/f.u.: 1.2
Uncorrected formation energy, eV per atom: 0.044
Calculated volume, Å³/cell: 618

Lattice parameters (Å, degrees): 4.110 10.752 13.984 90.00 90.00 90.00
Fractional positions:
Si 0.750 0.727 0.390
Si 0.750 0.966 0.634
Si 0.750 0.961 0.974
Si 0.750 0.534 0.134
Zn 0.250 0.682 0.797
Si 0.250 0.227 0.110
Si 0.750 0.539 0.474
Zn 0.750 0.551 0.948
Si 0.250 0.226 0.281
Si 0.250 0.466 0.866
Na 0.250 0.988 0.800
Na 0.750 0.488 0.700
Na 0.750 0.248 0.440
Si 0.250 0.461 0.526
Zn 0.750 0.182 0.703
Na 0.250 0.512 0.300
Si 0.750 0.726 0.219
Zn 0.250 0.818 0.297
Si 0.250 0.273 0.610
Si 0.750 0.773 0.890
Na 0.750 0.012 0.200
Si 0.250 0.034 0.366
Zn 0.250 0.051 0.552
Si 0.250 0.039 0.026
Si 0.750 0.774 0.719
Na 0.750 0.252 0.940
Zn 0.250 0.449 0.052
Na 0.250 0.748 0.060
Si 0.250 0.274 0.781
Zn 0.750 0.949 0.448
Na 0.250 0.752 0.560
Zn 0.750 0.318 0.203

(8)
A geometry-optimized NaZn2Si2 structure, computed with PBE-GGA.

Values from the calculation:
Density of states at the Fermi level, states/eV/f.u.: 1.2
Uncorrected formation energy, eV per atom: -0.026
Calculated volume, Å³/cell: 91
Energy above the most stable polymorph in this dataset, meV per atom: 0

Lattice parameters (Å, degrees): 4.175 4.175 5.974 69.55 69.55 90.00
Fractional positions:
Zn 0.750 0.250 0.500
Si 0.612 0.612 0.776
Zn 0.250 0.750 0.500
Si 0.388 0.388 0.224
Na 0.000 0.000 0.000